1.
First-principles (PBE-GGA) data for a geometry-optimized Al2RuSe structure, as listed in the Alexandria database.

Unit cell a=5.109 b=5.109 c=5.109 alpha=141.19 beta=128.82 gamma=66.04
Element x y z (fractional)
Al  0.000  0.000  0.000
Al  0.753  0.253  0.500
Ru  0.226  0.726  0.500
Se  0.526  0.526  0.000

Symmetry: Imm2 (44)
E_form (uncorrected) (eV per atom): -0.05

---

2.
First-principles (PBE-GGA) data for a geometry-optimized Al2RuSe structure, as listed in the Alexandria database.

Unit cell a=7.809 b=7.809 c=7.809 alpha=23.23 beta=23.23 gamma=23.23
Element x y z (fractional)
Al  0.244  0.244  0.244
Al  0.756  0.756  0.756
Ru  0.500  0.500  0.500
Se  0.000  0.000  0.000

Symmetry: R-3m (166)
E_form (uncorrected) (eV per atom): -0.25

---

3.
First-principles (PBE-GGA) data for a geometry-optimized Al2RuSe structure, as listed in the Alexandria database.

Unit cell a=3.226 b=3.213 c=6.054 alpha=90.00 beta=96.12 gamma=90.00
Element x y z (fractional)
Al  0.032  0.000  0.226
Al  0.968  0.000  0.774
Ru  0.500  0.500  0.000
Se  0.500  0.500  0.500

Symmetry: P2/m (10)
E_form (uncorrected) (eV per atom): -0.32

---

4.
First-principles (PBE-GGA) data for a geometry-optimized AlRuSe2 structure, as listed in the Alexandria database.

Unit cell a=9.274 b=9.274 c=9.274 alpha=20.10 beta=20.10 gamma=20.10
Element x y z (fractional)
Al  0.000  0.000  0.000
Ru  0.742  0.742  0.742
Se  0.271  0.271  0.271
Se  0.465  0.465  0.465

Symmetry: R3m (160)
E_form (uncorrected) (eV per atom): -0.30

---

5.
First-principles (PBE-GGA) data for a geometry-optimized Al2RuSe structure, as listed in the Alexandria database.

Unit cell a=4.326 b=3.227 c=4.919 alpha=90.00 beta=111.65 gamma=90.00
Element x y z (fractional)
Al  0.000  0.000  0.000
Al  0.000  0.500  0.500
Ru  0.500  0.000  0.500
Se  0.500  0.500  0.000

Symmetry: P2/m (10)
E_form (uncorrected) (eV per atom): -0.10

---

6.
First-principles (PBE-GGA) data for a geometry-optimized Al2RuSe structure, as listed in the Alexandria database.

Unit cell a=3.256 b=4.197 c=4.612 alpha=90.00 beta=90.00 gamma=90.00
Element x y z (fractional)
Al  0.000  0.000  0.000
Al  0.500  0.000  0.500
Ru  0.000  0.500  0.500
Se  0.500  0.500  0.000

Symmetry: Pmmm (47)
E_form (uncorrected) (eV per atom): 0.03

---

7.
First-principles (PBE-GGA) data for a geometry-optimized AlRuSe2 structure, as listed in the Alexandria database.

Unit cell a=3.412 b=3.659 c=6.500 alpha=90.00 beta=90.00 gamma=90.00
Element x y z (fractional)
Al  0.000  0.000  0.000
Ru  0.500  0.000  0.500
Se  0.000  0.500  0.500
Se  0.500  0.500  0.000

Symmetry: Pmmm (47)
E_form (uncorrected) (eV per atom): 0.29

---

8.
First-principles (PBE-GGA) data for a geometry-optimized AlRu2Se structure, as listed in the Alexandria database.

Unit cell a=2.998 b=2.998 c=7.587 alpha=90.00 beta=90.00 gamma=90.00
Element x y z (fractional)
Al  0.000  0.000  0.000
Ru  0.000  0.000  0.417
Ru  0.500  0.500  0.167
Se  0.500  0.500  0.599

Polymorph energy (0 for the lowest one) (meV per atom): 180
Symmetry: P4mm (99)
E_form (uncorrected) (eV per atom): -0.04

---

Which value of E_form (uncorrected) does entry 1 give? -0.05 eV per atom

---

Copy entry 2 word for word.
First-principles (PBE-GGA) data for a geometry-optimized Al2RuSe structure, as listed in the Alexandria database.

Unit cell a=7.809 b=7.809 c=7.809 alpha=23.23 beta=23.23 gamma=23.23
Element x y z (fractional)
Al  0.244  0.244  0.244
Al  0.756  0.756  0.756
Ru  0.500  0.500  0.500
Se  0.000  0.000  0.000

Symmetry: R-3m (166)
E_form (uncorrected) (eV per atom): -0.25